A relaxed structure of Hg3Pd7Au2, computed with PBE-GGA.

Properties
- E_tot: -3.629 eV/atom
- DOS(E_F): 0.78 states/eV per atom
- Calculated formation energy: 2 kJ per mole of atoms
- Crystal system: monoclinic
- Magnetization: 0.00 μB/cell

Structure (CIF):
```
data_Hg3Pd7Au2
_chemical_formula_sum 'Hg3 Pd7 Au2'
_cell_length_a 4.686
_cell_length_b 2.897
_cell_length_c 16.293
_cell_angle_alpha 90.00
_cell_angle_beta 97.15
_cell_angle_gamma 90.00
_space_group_name_H-M_alt 'P 1 2/m 1'
_space_group_IT_number 10
_space_group_name_Hall '-P 2y'
loop_
_atom_site_label
_atom_site_type_symbol
_atom_site_fract_x
_atom_site_fract_y
_atom_site_fract_z
Hg1 Hg 0.000 0.000 0.000
Hg2 Hg 0.311 0.500 0.613
Pd1 Pd 0.219 0.500 0.149
Pd2 Pd 0.230 0.000 0.454
Pd3 Pd 0.292 0.000 0.854
Pd4 Pd 0.500 0.500 0.000
Au1 Au 0.100 0.000 0.287
```

=====

A relaxed structure of VCd2Hg, computed with PBE-GGA.

Properties
- E_tot: -2.337 eV/atom
- DOS(E_F): 0.47 states/eV per atom
- Calculated formation energy: 46 kJ per mole of atoms
- Crystal system: tetragonal
- Polymorph energy (0 for the lowest one): 43.9 kJ/mol of formula units
- Magnetization: 13.04 μB/cell

Structure (CIF):
```
data_VCd2Hg
_chemical_formula_sum 'V4 Cd8 Hg4'
_cell_length_a 7.910
_cell_length_b 7.910
_cell_length_c 5.814
_cell_angle_alpha 90.00
_cell_angle_beta 90.00
_cell_angle_gamma 90.00
_space_group_name_H-M_alt 'I -4 2 d'
_space_group_IT_number 122
_space_group_name_Hall 'I -4 2bw'
loop_
_atom_site_label
_atom_site_type_symbol
_atom_site_fract_x
_atom_site_fract_y
_atom_site_fract_z
V1 V 0.000 0.000 0.000
Cd1 Cd 0.246 0.250 0.125
Hg1 Hg 0.000 0.000 0.500
```